# SnSbPBr2

SnSbPBr2 after structural relaxation (PBE, the Alexandria database).

Calculated values
**Energy**: -15.42 eV/cell
**Formation energy from raw total energies**: 1.46 eV per formula unit

Geometry as CIF:
```
data_SnSbPBr2
_chemical_formula_sum 'Sn1 Sb1 P1 Br2'
_space_group_name_H-M_alt 'P 4/m m m'
_space_group_IT_number 123
_space_group_name_Hall '-P 4 2'
_cell_length_a 4.992
_cell_length_b 4.992
_cell_length_c 5.617
_cell_angle_alpha 90.00
_cell_angle_beta 90.00
_cell_angle_gamma 90.00
loop_
_atom_site_label
_atom_site_type_symbol
_atom_site_fract_x
_atom_site_fract_y
_atom_site_fract_z
_atom_site_occupancy
Sn1 Sn 0.000 0.000 0.000 1
Sb1 Sb 0.500 0.500 0.000 1
P1 P 0.000 0.000 0.500 1
Br1 Br 0.000 0.500 0.500 1
```